1.
Here is a relaxed Hf2NbHPd crystal from Alexandria. Energies are from PBE.

extended XYZ file:
```
5
Lattice="5.3226 0.0000 0.0000 0.0000 5.3226 0.0000 0.0000 0.0000 3.1888" Properties=species:S:1:pos:R:3 pbc="T T T"
Hf 0.0000 2.6613 0.0000
Hf 2.6613 0.0000 0.0000
Nb 0.0000 0.0000 1.5944
H 2.6613 2.6613 1.5944
Pd 2.6613 2.6613 0.0000
```

Calculated values
Distance to the lowest polymorph of the same formula = 718.3 meV/atom
Final energy = -36.5 eV for the cell shown


2.
Here is a relaxed AlRu crystal from Alexandria. Energies are from PBE.

extended XYZ file:
```
8
Lattice="-3.8007 3.8007 3.8007 3.8007 -3.8007 3.8007 3.8007 3.8007 -3.8007" Properties=species:S:1:pos:R:3 pbc="T T T"
Al 2.3296 2.3296 -2.3296
Al 2.3296 -2.3296 2.3296
Al 1.4711 1.4711 1.4711
Al -2.3296 2.3296 2.3296
Ru 0.9211 0.9211 -0.9211
Ru 0.9211 -0.9211 0.9211
Ru -0.9211 0.9211 0.9211
Ru 2.8797 2.8797 2.8797
```

Calculated values
Energy of formation from the pure elements = 0.85 eV per atom
Final energy = -45.3 eV for the cell shown


3.
Here is a relaxed MgBeCl crystal from Alexandria. Energies are from PBE.

extended XYZ file:
```
3
Lattice="0.0000 3.2675 3.2675 3.2675 0.0000 3.2675 3.2675 3.2675 0.0000" Properties=species:S:1:pos:R:3 pbc="T T T"
Mg 0.0000 0.0000 0.0000
Be 1.6337 1.6337 1.6337
Cl 4.9012 4.9012 4.9012
```

Calculated values
Distance to the lowest polymorph of the same formula = 995.3 meV/atom
Final energy = -5.9 eV for the cell shown


4.
Here is a relaxed LaTb4Pm2Sm2 crystal from Alexandria. Energies are from PBE.

extended XYZ file:
```
9
Lattice="7.6897 -2.5606 0.0000 7.6897 2.5606 0.0000 -2.5693 0.0000 7.6589" Properties=species:S:1:pos:R:3 pbc="T T T"
La 0.0000 0.0000 0.0000
Tb 2.5590 0.0000 2.5684
Tb 5.1105 0.0000 5.0852
Tb 7.6996 0.0000 2.5737
Tb 10.2510 0.0000 5.0905
Pm 5.1085 0.0000 0.0021
Pm 7.7016 0.0000 7.6568
Sm 0.0033 0.0000 5.0796
Sm 12.8067 0.0000 2.5793
```

Calculated values
Energy of formation from the pure elements = 0.02 eV per atom
Final energy = -42.2 eV for the cell shown


5.
Here is a relaxed NpIrOs2 crystal from Alexandria. Energies are from PBE.

extended XYZ file:
```
4
Lattice="4.0310 0.0000 0.0000 0.0000 4.0310 0.0000 0.0000 0.0000 3.9625" Properties=species:S:1:pos:R:3 pbc="T T T"
Np 0.0000 0.0000 0.0000
Ir 2.0155 2.0155 0.0000
Os 0.0000 2.0155 1.9813
Os 2.0155 0.0000 1.9813
```

Calculated values
Energy of formation from the pure elements = -0.11 eV per atom
Final energy = -44.7 eV for the cell shown


6.
Here is a relaxed Mn2SiN crystal from Alexandria. Energies are from PBE.

extended XYZ file:
```
8
Lattice="-3.0187 3.0187 2.4069 3.0187 -3.0187 2.4069 3.0187 3.0187 -2.4069" Properties=species:S:1:pos:R:3 pbc="T T T"
Mn 4.5280 0.8640 -0.6017
Mn 0.8640 1.5093 0.6017
Mn -1.5093 2.1547 1.8051
Mn 2.1547 1.5093 3.0086
Si 3.0187 0.0000 1.2034
Si 0.0000 0.0000 2.4069
N 0.0000 0.0000 0.0000
N 0.0000 3.0187 1.2034
```

Calculated values
Distance to the lowest polymorph of the same formula = 220.7 meV/atom
Final energy = -64.5 eV for the cell shown